Here is PrCoIO6 after structural relaxation from Alexandria. Energies are from PBE with a Hubbard U.

Size of the total moment ... 0.95 Bohr magnetons per cell
E ... -5.886 eV per atom
Space-group type ... P312, No. 149

a b c (Å): 5.1760 5.1760 5.2208
angles (deg): 90.00 90.00 60.00
With the nearest neighbours (Å) after each atom.
Element x y z (fractional)
O 0.9870 0.6374 0.7118  1 Co 1.93, 1 I 2.02
O 0.6373 0.3756 0.7118  1 Co 1.93, 1 I 2.02
O 0.6373 0.9870 0.2882  1 Co 1.93, 1 I 2.02
O 0.9870 0.3756 0.2882  1 Co 1.93, 1 I 2.02
O 0.3756 0.9870 0.7118  1 Co 1.93, 1 I 2.02
O 0.3756 0.6374 0.2881  1 Co 1.93, 1 I 2.02
Co 0.6666 0.6667 0.5000  6 O 1.93
Pr 0.0000 0.0000 0.0000  6 O 2.43
I 0.3333 0.3333 0.5000  6 O 2.02